Computed, not measured: crystalline RbSbPS2 at its relaxed geometry at the GGA-PBE level of DFT.

Output
Calculated total energy (eV per atom): -2.18
Energy above the lowest structure with this stoichiometry (kJ per mole of atoms): 145.1

Cell: 5.3838 5.3838 5.4166 Å, 90.00 90.00 90.00°
Last column: nearest neighbours and their distance in Å.
Space group P4/mmm (No. 123)
Unique sites:
Rb (0.0000, 0.0000, 0.0000) x1  4 S 2.69, 2 P 2.71
Sb (0.5000, 0.5000, 0.5000) x1  4 P 3.81, 8 S 3.82
P (0.0000, 0.0000, 0.5000) x1  2 Rb 2.71
S (0.0000, 0.5000, 0.0000) x2  2 Rb 2.69